Entry 1:
Entry from Alexandria: a relaxed LaPm4Sm2Sc crystal (PBE).

Lattice parameters (Å, degrees): 5.083 5.088 10.272 90.00 90.04 90.00
Space group P2/m (No. 10)
Unique sites:
La (0.000, 0.000, 0.000) (multiplicity 1)
Pm (0.000, 0.500, 0.247) (multiplicity 2)
Pm (0.500, 0.000, 0.247) (multiplicity 2)
Sm (0.000, 0.000, 0.500) (multiplicity 1)
Sm (0.500, 0.500, 0.500) (multiplicity 1)
Sc (0.500, 0.500, 0.000) (multiplicity 1)

=====

Entry 2:
Entry from Alexandria: a relaxed LaPm3SmSc crystal (PBE).

Lattice parameters (Å, degrees): 5.067 15.279 10.211 90.00 90.00 90.00
Space group Cmcm (No. 63)
Unique sites:
La (0.000, 0.004, 0.250) (multiplicity 4)
Pm (0.000, 0.168, 0.001) (multiplicity 8)
Pm (0.000, 0.329, 0.250) (multiplicity 4)
Sm (0.000, 0.500, 0.000) (multiplicity 4)
Sc (0.000, 0.331, 0.750) (multiplicity 4)

=====

| no. | calculated formation energy (eV/atom) |
| --- | --- |
| 1 | 0.032 |
| 2 | 0.043 |